(1)
The following is a GGA-PBE calculation of a relaxed Pr6DySn crystal, from the Alexandria database.

Output
- DFT formation energy (eV/atom) = -0.197
- SG = P4/mmm, No. 123

Cell: 5.045 5.045 10.422 Å, 90.00 90.00 90.00°
Atoms (fractional coordinates):
Sn 0.000 0.000 0.000
Pr 0.500 0.000 0.241
Pr 0.000 0.500 0.241
Pr 0.500 0.500 0.500
Pr 0.500 0.000 0.759
Pr 0.000 0.500 0.759
Pr 0.500 0.500 0.000
Dy 0.000 0.000 0.500

---

(2)
The following is a GGA-PBE calculation of a relaxed CdReI2 crystal, from the Alexandria database.

Output
- E above lowest polymorph (meV/atom) = 0.0
- SG = I-42d, No. 122

Cell: 9.398 9.398 7.210 Å, 49.32 49.32 90.00°
Atoms (fractional coordinates):
I 0.875 0.013 0.750
I 0.763 0.125 0.250
I 0.987 0.625 0.250
I 0.375 0.237 0.750
Re 0.000 0.000 0.000
Re 0.750 0.250 0.500
Cd 0.250 0.750 0.500
Cd 0.500 0.500 0.000

---

(3)
The following is a GGA-PBE calculation of a relaxed AsBrN crystal, from the Alexandria database.

Output
- E above lowest polymorph (meV/atom) = 0.0
- SG = P1, No. 1

Cell: 7.935 6.786 5.551 Å, 73.16 105.77 70.95°
Atoms (fractional coordinates):
Br 0.627 0.077 0.280
Br 0.405 0.683 0.803
N 0.001 0.332 0.858
N 0.986 0.428 0.648
As 0.473 0.288 0.493
As 0.326 0.669 0.190

---

(4)
The following is a GGA-PBE calculation of a relaxed La3Y2Ho8 crystal, from the Alexandria database.

Output
- E above lowest polymorph (meV/atom) = 0.0
- DFT formation energy (eV/atom) = 0.030
- SG = P-1, No. 2

Cell: 6.221 6.208 13.880 Å, 68.10 121.58 99.71°
Atoms (fractional coordinates):
Ho 0.306 0.540 0.613
Ho 0.160 0.766 0.312
Ho 0.840 0.234 0.688
Ho 0.084 0.378 0.159
Ho 0.624 0.073 0.236
Ho 0.694 0.460 0.387
Ho 0.916 0.622 0.841
Ho 0.376 0.927 0.764
La 0.541 0.692 0.080
La 0.000 0.000 0.000
La 0.459 0.308 0.920
Y 0.232 0.154 0.463
Y 0.768 0.846 0.537

---

(5)
The following is a GGA-PBE calculation of a relaxed CaTe2PdN crystal, from the Alexandria database.

Output
- E above lowest polymorph (meV/atom) = 0.0
- SG = P4/mmm, No. 123

Cell: 5.680 5.680 3.769 Å, 90.00 90.00 90.00°
Atoms (fractional coordinates):
N 0.000 0.000 0.500
Te 0.500 0.000 0.000
Te 0.000 0.500 0.000
Ca 0.500 0.500 0.500
Pd 0.000 0.000 0.000

---

(6)
The following is a GGA-PBE calculation of a relaxed HfTa2Cu2 crystal, from the Alexandria database.

Output
- E above lowest polymorph (meV/atom) = 53.6
- DFT formation energy (eV/atom) = 0.220
- SG = I4/mmm, No. 139

Cell: 3.894 3.894 6.363 Å, 72.18 72.18 90.00°
Atoms (fractional coordinates):
Cu 0.403 0.403 0.195
Cu 0.597 0.597 0.805
Ta 0.750 0.250 0.500
Ta 0.250 0.750 0.500
Hf 0.000 0.000 0.000

---

Question: What is the formula in the third record?
Answer: AsBrN